Computed, not measured: a relaxed Ac2ErS3 crystal at the PBE-GGA level of DFT.

Properties
E_form (uncorrected): -1.903 eV/atom

Lattice parameters (Å, degrees): 4.1964 4.1964 17.6115 90.00 90.00 90.00
Space group I4/mmm (No. 139)
Asymmetric unit:
Ac1 0.0000 0.0000 0.1687 [4 per cell]
Er1 0.0000 0.0000 0.5000 [2 per cell]
S1 0.0000 0.0000 0.0000 [2 per cell]
S2 0.0000 0.0000 0.3445 [4 per cell]



Computed, not measured: a relaxed YB3Ir3 crystal at the PBE-GGA level of DFT.

Properties
Energy of formation from the pure elements: -0.384 eV/atom
Energy above the lowest structure with this stoichiometry: 0.00 eV/f.u.

Lattice parameters (Å, degrees): 5.8794 5.8794 5.8794 90.00 90.00 90.00
Space group Pm-3n (No. 223)
Asymmetric unit:
Y1 0.0000 0.0000 0.0000 [2 per cell]
B1 0.0000 0.2500 0.5000 [6 per cell]
Ir1 0.0000 0.5000 0.2500 [6 per cell]



Computed, not measured: a relaxed LaSm5Sn4 crystal at the PBE-GGA level of DFT.

Properties
Energy of formation from the pure elements: -0.622 eV/atom

Lattice parameters (Å, degrees): 16.8721 4.8316 8.1901 90.00 105.34 90.00
Space group C2/m (No. 12)
Asymmetric unit:
La1 0.0000 0.0000 0.0000 [2 per cell]
Sm1 0.0000 0.0000 0.5000 [2 per cell]
Sm2 0.1462 0.5000 0.4369 [4 per cell]
Sm3 0.1973 0.0000 0.8348 [4 per cell]
Sn1 0.0606 0.5000 0.7668 [4 per cell]
Sn2 0.1932 0.0000 0.2438 [4 per cell]



Computed, not measured: a relaxed CuGeF3 crystal at the PBE-GGA level of DFT.

Properties
E_form (uncorrected): -1.186 eV/atom
Energy above the lowest structure with this stoichiometry: 0.23 eV/f.u.

Lattice parameters (Å, degrees): 4.0778 4.0778 4.0778 90.00 90.00 90.00
Space group Pm-3m (No. 221)
Asymmetric unit:
Cu1 0.0000 0.0000 0.0000 [1 per cell]
Ge1 0.5000 0.5000 0.5000 [1 per cell]
F1 0.0000 0.0000 0.5000 [3 per cell]



Computed, not measured: a relaxed NaAuSe3 crystal at the PBE-GGA level of DFT.

Properties
E_form (uncorrected): -0.135 eV/atom
Energy above the lowest structure with this stoichiometry: 1.21 eV/f.u.

Lattice parameters (Å, degrees): 7.8685 7.8685 12.8116 90.00 90.00 120.00
Space group R-3c (No. 167, hexagonal axes)
Asymmetric unit:
Na1 0.0000 0.0000 0.2500 [6 per cell]
Au1 0.0000 0.0000 0.0000 [6 per cell]
Se1 0.0000 0.3902 0.2500 [18 per cell]